# 1
Material: Ac6Mg23Cd
Method: DFT, PBE
State: relaxed

Summary:
Total energy ... -260.36 eV/cell
E_form ... -95 meV per atom
Total magnetization ... 0.0003 μB per atom

Unit cell a=14.9755 b=14.9755 c=14.9755 alpha=90.00 beta=90.00 gamma=90.00
Space group Fm-3m (No. 225)
Symmetry-distinct sites (fractional):
Ac 0.0000 0.0000 0.2200 x24
Mg 0.0000 0.0000 0.5000 x4
Mg 0.0000 0.2500 0.2500 x24
Mg 0.1241 0.1241 0.3759 x32
Mg 0.1729 0.1729 0.1729 x32
Cd 0.0000 0.0000 0.0000 x4

---

# 2
Material: AcMgCd3
Method: DFT, PBE
State: relaxed

Summary:
Total energy ... -38.57 eV/cell
E_form ... -239 meV per atom
Total magnetization ... 0.0000 μB per atom
ΔE to the lowest computed polymorph ... 0.00 kcal/mol of atoms

Unit cell a=13.0574 b=6.4888 c=6.4902 alpha=90.00 beta=90.00 gamma=90.00
Space group Pnna (No. 52)
Symmetry-distinct sites (fractional):
Ac 0.2500 0.0000 0.9996 x4
Mg 0.9997 0.2500 0.2500 x4
Cd 0.0001 0.2500 0.7500 x4
Cd 0.1407 0.0002 0.4994 x8